(1)
Computed, not measured: a relaxed structure of Zr4GaP at the GGA-PBE level of DFT.

Summary:
distance to the lowest polymorph of the same formula: 0.000 eV/atom
energy relative to the elements: -4.68 eV/f.u.
crystal system: tetragonal
N(E_F): 0.55 states/eV per atom

```
data_Zr4GaP
_chemical_formula_sum 'Zr8 Ga2 P2'
_cell_length_a 6.593
_cell_length_b 6.593
_cell_length_c 5.380
_cell_angle_alpha 90.00
_cell_angle_beta 90.00
_cell_angle_gamma 90.00
_space_group_name_H-M_alt 'P 4/m c c'
_space_group_IT_number 124
_space_group_name_Hall '-P 4 2c'
loop_
_atom_site_label
_atom_site_fract_x
_atom_site_fract_y
_atom_site_fract_z
Zr1 0.150 0.337 0.000
Ga1 0.500 0.500 0.250
P1 0.000 0.000 0.250
```


(2)
Computed, not measured: a relaxed structure of ZrGaP3 at the GGA-PBE level of DFT.

Summary:
distance to the lowest polymorph of the same formula: 0.000 eV/atom
energy relative to the elements: 1.69 eV/f.u.
crystal system: cubic
N(E_F): 1.20 states/eV per atom

```
data_ZrGaP3
_chemical_formula_sum 'Zr1 Ga1 P3'
_cell_length_a 5.048
_cell_length_b 5.048
_cell_length_c 5.048
_cell_angle_alpha 90.00
_cell_angle_beta 90.00
_cell_angle_gamma 90.00
_space_group_name_H-M_alt 'P m -3 m'
_space_group_IT_number 221
_space_group_name_Hall '-P 4 2 3'
loop_
_atom_site_label
_atom_site_fract_x
_atom_site_fract_y
_atom_site_fract_z
Zr1 0.000 0.000 0.000
Ga1 0.500 0.500 0.500
P1 0.000 0.000 0.500
```


(3)
Computed, not measured: a relaxed structure of Zr4GaP at the GGA-PBE level of DFT.

Summary:
distance to the lowest polymorph of the same formula: 0.314 eV/atom
energy relative to the elements: -2.80 eV/f.u.
crystal system: monoclinic
N(E_F): 0.85 states/eV per atom

```
data_Zr4GaP
_chemical_formula_sum 'Zr8 Ga2 P2'
_cell_length_a 6.390
_cell_length_b 6.437
_cell_length_c 6.366
_cell_angle_alpha 90.00
_cell_angle_beta 91.62
_cell_angle_gamma 90.00
_space_group_name_H-M_alt 'P 1 21/c 1'
_space_group_IT_number 14
loop_
_space_group_symop_operation_xyz
'x,y,z'
'-x,-y,-z'
'-x,y+1/2,-z+1/2'
'x,-y+1/2,z+1/2'
loop_
_atom_site_label
_atom_site_fract_x
_atom_site_fract_y
_atom_site_fract_z
Zr1 0.131 0.148 0.155
Zr2 0.348 0.638 0.125
Ga1 0.500 0.000 0.000
P1 0.000 0.000 0.500
```


(4)
Computed, not measured: a relaxed structure of ZrGa2P at the GGA-PBE level of DFT.

Summary:
energy relative to the elements: -0.92 eV/f.u.
crystal system: tetragonal
N(E_F): 0.70 states/eV per atom

```
data_ZrGa2P
_chemical_formula_sum 'Zr4 Ga8 P4'
_cell_length_a 7.452
_cell_length_b 7.452
_cell_length_c 5.313
_cell_angle_alpha 90.00
_cell_angle_beta 90.00
_cell_angle_gamma 90.00
_space_group_name_H-M_alt 'I -4 2 d'
_space_group_IT_number 122
_space_group_name_Hall 'I -4 2bw'
loop_
_atom_site_label
_atom_site_fract_x
_atom_site_fract_y
_atom_site_fract_z
Zr1 0.000 0.000 0.000
Ga1 0.212 0.250 0.625
P1 0.000 0.000 0.500
```


(5)
Computed, not measured: a relaxed structure of ZrGaP2 at the GGA-PBE level of DFT.

Summary:
energy relative to the elements: -1.54 eV/f.u.
crystal system: tetragonal
N(E_F): 0.93 states/eV per atom

```
data_ZrGaP2
_chemical_formula_sum 'Zr4 Ga4 P8'
_cell_length_a 5.879
_cell_length_b 5.879
_cell_length_c 10.896
_cell_angle_alpha 90.00
_cell_angle_beta 90.00
_cell_angle_gamma 90.00
_space_group_name_H-M_alt 'I -4 2 d'
_space_group_IT_number 122
_space_group_name_Hall 'I -4 2bw'
loop_
_atom_site_label
_atom_site_fract_x
_atom_site_fract_y
_atom_site_fract_z
Zr1 0.000 0.000 0.000
Ga1 0.000 0.000 0.500
P1 0.230 0.250 0.625
```


(6)
Computed, not measured: a relaxed structure of ZrGa3P at the GGA-PBE level of DFT.

Summary:
distance to the lowest polymorph of the same formula: 0.000 eV/atom
energy relative to the elements: 2.06 eV/f.u.
crystal system: cubic
N(E_F): 0.72 states/eV per atom

```
data_ZrGa3P
_chemical_formula_sum 'Zr1 Ga3 P1'
_cell_length_a 4.688
_cell_length_b 4.688
_cell_length_c 4.688
_cell_angle_alpha 90.00
_cell_angle_beta 90.00
_cell_angle_gamma 90.00
_space_group_name_H-M_alt 'P m -3 m'
_space_group_IT_number 221
_space_group_name_Hall '-P 4 2 3'
loop_
_atom_site_label
_atom_site_fract_x
_atom_site_fract_y
_atom_site_fract_z
Zr1 0.000 0.000 0.000
Ga1 0.000 0.500 0.500
P1 0.500 0.500 0.500
```


(7)
Computed, not measured: a relaxed structure of Zr2GaP2 at the GGA-PBE level of DFT.

Summary:
energy relative to the elements: -4.04 eV/f.u.
crystal system: tetragonal
N(E_F): 0.81 states/eV per atom

```
data_Zr2GaP2
_chemical_formula_sum 'Zr4 Ga2 P4'
_cell_length_a 7.165
_cell_length_b 7.165
_cell_length_c 3.468
_cell_angle_alpha 90.00
_cell_angle_beta 90.00
_cell_angle_gamma 90.00
_space_group_name_H-M_alt 'P 4/m b m'
_space_group_IT_number 127
_space_group_name_Hall '-P 4 2ab'
loop_
_atom_site_label
_atom_site_fract_x
_atom_site_fract_y
_atom_site_fract_z
Zr1 0.155 0.345 0.000
Ga1 0.000 0.000 0.500
P1 0.139 0.639 0.500
```


(8)
Computed, not measured: a relaxed structure of PaGa at the GGA-PBE level of DFT.

Summary:
distance to the lowest polymorph of the same formula: 0.172 eV/atom
energy relative to the elements: -0.19 eV/f.u.
crystal system: cubic
N(E_F): 2.08 states/eV per atom

```
data_PaGa
_chemical_formula_sum 'Pa1 Ga1'
_cell_length_a 3.545
_cell_length_b 3.545
_cell_length_c 3.545
_cell_angle_alpha 90.00
_cell_angle_beta 90.00
_cell_angle_gamma 90.00
_space_group_name_H-M_alt 'P m -3 m'
_space_group_IT_number 221
_space_group_name_Hall '-P 4 2 3'
loop_
_atom_site_label
_atom_site_fract_x
_atom_site_fract_y
_atom_site_fract_z
Pa1 0.000 0.000 0.000
Ga1 0.500 0.500 0.500
```


(9)
Computed, not measured: a relaxed structure of PaGa3 at the GGA-PBE level of DFT.

Summary:
distance to the lowest polymorph of the same formula: 0.230 eV/atom
energy relative to the elements: -0.56 eV/f.u.
crystal system: orthorhombic
N(E_F): 1.06 states/eV per atom

```
data_PaGa3
_chemical_formula_sum 'Pa2 Ga6'
_cell_length_a 3.076
_cell_length_b 9.981
_cell_length_c 5.290
_cell_angle_alpha 90.00
_cell_angle_beta 90.00
_cell_angle_gamma 90.00
_space_group_name_H-M_alt 'I m m 2'
_space_group_IT_number 44
loop_
_space_group_symop_operation_xyz
'x,y,z'
'-x,-y,z'
'-x,y,z'
'x,-y,z'
'x+1/2,y+1/2,z+1/2'
'-x+1/2,-y+1/2,z+1/2'
'-x+1/2,y+1/2,z+1/2'
'x+1/2,-y+1/2,z+1/2'
loop_
_atom_site_label
_atom_site_fract_x
_atom_site_fract_y
_atom_site_fract_z
Pa1 0.000 0.000 0.000
Ga1 0.000 0.236 0.608
Ga2 0.000 0.500 0.001
```


(10)
Computed, not measured: a relaxed structure of PaGa at the GGA-PBE level of DFT.

Summary:
distance to the lowest polymorph of the same formula: 0.001 eV/atom
energy relative to the elements: -0.53 eV/f.u.
crystal system: tetragonal
N(E_F): 1.24 states/eV per atom

```
data_PaGa
_chemical_formula_sum 'Pa1 Ga1'
_cell_length_a 3.148
_cell_length_b 3.148
_cell_length_c 4.312
_cell_angle_alpha 90.00
_cell_angle_beta 90.00
_cell_angle_gamma 90.00
_space_group_name_H-M_alt 'P 4/m m m'
_space_group_IT_number 123
_space_group_name_Hall '-P 4 2'
loop_
_atom_site_label
_atom_site_fract_x
_atom_site_fract_y
_atom_site_fract_z
Pa1 0.000 0.000 0.000
Ga1 0.500 0.500 0.500
```


(11)
Computed, not measured: a relaxed structure of Pa3Ga7 at the GGA-PBE level of DFT.

Summary:
energy relative to the elements: 0.36 eV/f.u.
crystal system: orthorhombic
N(E_F): 1.49 states/eV per atom

```
data_Pa3Ga7
_chemical_formula_sum 'Pa6 Ga14'
_cell_length_a 4.803
_cell_length_b 11.538
_cell_length_c 7.768
_cell_angle_alpha 90.00
_cell_angle_beta 90.00
_cell_angle_gamma 90.00
_space_group_name_H-M_alt 'C m m m'
_space_group_IT_number 65
_space_group_name_Hall '-C 2 2'
loop_
_atom_site_label
_atom_site_fract_x
_atom_site_fract_y
_atom_site_fract_z
Pa1 0.000 0.000 0.000
Pa2 0.000 0.158 0.500
Ga1 0.000 0.385 0.225
Ga2 0.000 0.500 0.500
Ga3 0.250 0.250 0.000
```


(12)
Computed, not measured: a relaxed structure of Pa2Ga3 at the GGA-PBE level of DFT.

Summary:
distance to the lowest polymorph of the same formula: 0.000 eV/atom
energy relative to the elements: -1.24 eV/f.u.
crystal system: orthorhombic
N(E_F): 1.37 states/eV per atom

```
data_Pa2Ga3
_chemical_formula_sum 'Pa4 Ga6'
_cell_length_a 4.024
_cell_length_b 5.755
_cell_length_c 9.100
_cell_angle_alpha 90.00
_cell_angle_beta 90.00
_cell_angle_gamma 90.00
_space_group_name_H-M_alt 'I m m m'
_space_group_IT_number 71
_space_group_name_Hall '-I 2 2'
loop_
_atom_site_label
_atom_site_fract_x
_atom_site_fract_y
_atom_site_fract_z
Pa1 0.000 0.000 0.220
Ga1 0.000 0.286 0.500
Ga2 0.000 0.500 0.000
```